## RbErIn2 (GGA-PBE)

Data for a relaxed RbErIn2 crystal.

Geometry as CIF:
```
data_RbErIn2
_space_group_name_H-M_alt 'P 4/m m m'
_space_group_IT_number 123
_space_group_name_Hall '-P 4 2'
_cell_length_a 3.850
_cell_length_b 3.850
_cell_length_c 8.901
_cell_angle_alpha 90.00
_cell_angle_beta 90.00
_cell_angle_gamma 90.00
loop_
_atom_site_label
_atom_site_type_symbol
_atom_site_fract_x
_atom_site_fract_y
_atom_site_fract_z
Rb1 Rb 0.000 0.000 0.000
Er1 Er 0.000 0.000 0.500
In1 In 0.500 0.500 0.308
```

Results
Final energy = -2.94 eV per atom
Spin magnetization = 0.00 μB per formula unit
Energy of formation from the pure elements = -0.19 eV per atom

## Rb2ErInS4 (GGA-PBE)

Data for a relaxed Rb2ErInS4 crystal.

Geometry as CIF:
```
data_Rb2ErInS4
_space_group_name_H-M_alt 'I m m a'
_space_group_IT_number 74
_space_group_name_Hall '-I 2b 2'
_cell_length_a 8.400
_cell_length_b 8.405
_cell_length_c 12.018
_cell_angle_alpha 90.00
_cell_angle_beta 90.00
_cell_angle_gamma 90.00
loop_
_atom_site_label
_atom_site_type_symbol
_atom_site_fract_x
_atom_site_fract_y
_atom_site_fract_z
Rb1 Rb 0.000 0.000 0.000
Rb2 Rb 0.250 0.250 0.250
Er1 Er 0.250 0.250 0.750
In1 In 0.000 0.000 0.500
S1 S 0.000 0.037 0.733
S2 S 0.209 0.250 0.517
```

Results
Final energy = -4.47 eV per atom
Spin magnetization = 0.00 μB per formula unit
E_form (uncorrected) = -1.2563 eV per atom

## Rb4Er3InS8 (GGA-PBE)

Data for a relaxed Rb4Er3InS8 crystal.

Geometry as CIF:
```
data_Rb4Er3InS8
_space_group_name_H-M_alt 'R -3 m'
_space_group_IT_number 166
_space_group_name_Hall '-R 3 2"'
_cell_length_a 8.0554
_cell_length_b 8.0554
_cell_length_c 23.0527
_cell_angle_alpha 90.00
_cell_angle_beta 90.00
_cell_angle_gamma 120.00
loop_
_atom_site_label
_atom_site_type_symbol
_atom_site_fract_x
_atom_site_fract_y
_atom_site_fract_z
Rb1 Rb 0.0000 0.0000 0.0000
Rb2 Rb 0.0000 0.5000 0.0000
Er1 Er 0.0000 0.5000 0.5000
In1 In 0.0000 0.0000 0.5000
S1 S 0.0000 0.0000 0.2302
S2 S 0.0031 0.5015 0.2300
```

Results
Final energy = -4.92 eV per atom
Spin magnetization = 0.00 μB per formula unit
E_form (uncorrected) = -1.5880 eV per atom

## Rb4Er3InSe8 (GGA-PBE)

Data for a relaxed Rb4Er3InSe8 crystal.

Geometry as CIF:
```
data_Rb4Er3InSe8
_space_group_name_H-M_alt 'R -3 m'
_space_group_IT_number 166
_space_group_name_Hall '-R 3 2"'
_cell_length_a 8.4024
_cell_length_b 8.4024
_cell_length_c 23.9904
_cell_angle_alpha 90.00
_cell_angle_beta 90.00
_cell_angle_gamma 120.00
loop_
_atom_site_label
_atom_site_type_symbol
_atom_site_fract_x
_atom_site_fract_y
_atom_site_fract_z
Rb1 Rb 0.0000 0.0000 0.0000
Rb2 Rb 0.0000 0.5000 0.0000
Er1 Er 0.0000 0.5000 0.5000
In1 In 0.0000 0.0000 0.5000
Se1 Se 0.0000 0.0000 0.2313
Se2 Se 0.0029 0.5014 0.2309
```

Results
Final energy = -4.50 eV per atom
Spin magnetization = 0.00 μB per formula unit
E_form (uncorrected) = -1.4895 eV per atom

## RbErInSe3 (GGA-PBE)

Data for a relaxed RbErInSe3 crystal.

Geometry as CIF:
```
data_RbErInSe3
_space_group_name_H-M_alt 'P 1 21/m 1'
_space_group_IT_number 11
_cell_length_a 8.946
_cell_length_b 4.089
_cell_length_c 11.379
_cell_angle_alpha 90.00
_cell_angle_beta 108.65
_cell_angle_gamma 90.00
loop_
_space_group_symop_operation_xyz
'x,y,z'
'-x,-y,-z'
'-x,y+1/2,-z'
'x,-y+1/2,z'
loop_
_atom_site_label
_atom_site_type_symbol
_atom_site_fract_x
_atom_site_fract_y
_atom_site_fract_z
Rb1 Rb 0.231 0.250 0.268
Er1 Er 0.358 0.750 0.855
In1 In 0.132 0.250 0.580
Se1 Se 0.117 0.250 0.809
Se2 Se 0.337 0.750 0.590
Se3 Se 0.414 0.750 0.112
```

Results
Final energy = -4.39 eV per atom
Spin magnetization = 0.00 μB per formula unit
E_form (uncorrected) = -1.2704 eV per atom

## Rb3Er3InSe8 (GGA-PBE)

Data for a relaxed Rb3Er3InSe8 crystal.

Geometry as CIF:
```
data_Rb3Er3InSe8
_space_group_name_H-M_alt 'C 1 2/m 1'
_space_group_IT_number 12
_cell_length_a 14.250
_cell_length_b 8.214
_cell_length_c 9.509
_cell_angle_alpha 90.00
_cell_angle_beta 120.02
_cell_angle_gamma 90.00
loop_
_space_group_symop_operation_xyz
'x,y,z'
'-x,-y,-z'
'-x,y,-z'
'x,-y,z'
'x+1/2,y+1/2,z'
'-x+1/2,-y+1/2,-z'
'-x+1/2,y+1/2,-z'
'x+1/2,-y+1/2,z'
loop_
_atom_site_label
_atom_site_type_symbol
_atom_site_fract_x
_atom_site_fract_y
_atom_site_fract_z
Rb1 Rb 0.000 0.000 0.000
Rb2 Rb 0.250 0.250 0.000
Er1 Er 0.000 0.500 0.500
Er2 Er 0.250 0.250 0.500
In1 In 0.000 0.000 0.500
Se1 Se 0.019 0.249 0.308
Se2 Se 0.230 0.000 0.692
Se3 Se 0.232 0.500 0.694
```

Results
Final energy = -4.56 eV per atom
Spin magnetization = 0.00 μB per formula unit
E_form (uncorrected) = -1.4143 eV per atom

## Rb2ErInTe4 (GGA-PBE)

Data for a relaxed Rb2ErInTe4 crystal.

Geometry as CIF:
```
data_Rb2ErInTe4
_space_group_name_H-M_alt 'I -4 2 m'
_space_group_IT_number 121
_space_group_name_Hall 'I -4 2'
_cell_length_a 9.080
_cell_length_b 9.080
_cell_length_c 7.549
_cell_angle_alpha 90.00
_cell_angle_beta 90.00
_cell_angle_gamma 90.00
loop_
_atom_site_label
_atom_site_type_symbol
_atom_site_fract_x
_atom_site_fract_y
_atom_site_fract_z
Rb1 Rb 0.000 0.500 0.000
Er1 Er 0.000 0.000 0.000
In1 In 0.000 0.000 0.500
Te1 Te 0.173 0.173 0.260
```

Results
Final energy = -3.68 eV per atom
Spin magnetization = 0.00 μB per formula unit
E_form (uncorrected) = -0.9569 eV per atom

## Rb3Er2InTe6 (GGA-PBE)

Data for a relaxed Rb3Er2InTe6 crystal.

Geometry as CIF:
```
data_Rb3Er2InTe6
_space_group_name_H-M_alt 'C 1 2/m 1'
_space_group_IT_number 12
_cell_length_a 7.791
_cell_length_b 13.490
_cell_length_c 8.940
_cell_angle_alpha 90.00
_cell_angle_beta 106.88
_cell_angle_gamma 90.00
loop_
_space_group_symop_operation_xyz
'x,y,z'
'-x,-y,-z'
'-x,y,-z'
'x,-y,z'
'x+1/2,y+1/2,z'
'-x+1/2,-y+1/2,-z'
'-x+1/2,y+1/2,-z'
'x+1/2,-y+1/2,z'
loop_
_atom_site_label
_atom_site_type_symbol
_atom_site_fract_x
_atom_site_fract_y
_atom_site_fract_z
Rb1 Rb 0.000 0.000 0.000
Rb2 Rb 0.000 0.332 0.000
Er1 Er 0.000 0.166 0.500
In1 In 0.000 0.500 0.500
Te1 Te 0.230 0.335 0.695
Te2 Te 0.235 0.000 0.696
```

Results
Final energy = -3.89 eV per atom
Spin magnetization = 0.00 μB per formula unit
E_form (uncorrected) = -1.0912 eV per atom

## RbErInTe3 (GGA-PBE)

Data for a relaxed RbErInTe3 crystal.

Geometry as CIF:
```
data_RbErInTe3
_space_group_name_H-M_alt 'P 1 21/m 1'
_space_group_IT_number 11
_cell_length_a 9.566
_cell_length_b 4.297
_cell_length_c 11.978
_cell_angle_alpha 90.00
_cell_angle_beta 109.55
_cell_angle_gamma 90.00
loop_
_space_group_symop_operation_xyz
'x,y,z'
'-x,-y,-z'
'-x,y+1/2,-z'
'x,-y+1/2,z'
loop_
_atom_site_label
_atom_site_type_symbol
_atom_site_fract_x
_atom_site_fract_y
_atom_site_fract_z
Rb1 Rb 0.229 0.250 0.281
Er1 Er 0.364 0.750 0.847
In1 In 0.123 0.250 0.572
Te1 Te 0.121 0.250 0.811
Te2 Te 0.340 0.750 0.581
Te3 Te 0.397 0.750 0.109
```

Results
Final energy = -3.92 eV per atom
Spin magnetization = 0.00 μB per formula unit
E_form (uncorrected) = -0.9695 eV per atom

## Rb3Er3InTe8 (GGA-PBE)

Data for a relaxed Rb3Er3InTe8 crystal.

Geometry as CIF:
```
data_Rb3Er3InTe8
_space_group_name_H-M_alt 'C 1 2/m 1'
_space_group_IT_number 12
_cell_length_a 15.195
_cell_length_b 8.747
_cell_length_c 10.194
_cell_angle_alpha 90.00
_cell_angle_beta 119.86
_cell_angle_gamma 90.00
loop_
_space_group_symop_operation_xyz
'x,y,z'
'-x,-y,-z'
'-x,y,-z'
'x,-y,z'
'x+1/2,y+1/2,z'
'-x+1/2,-y+1/2,-z'
'-x+1/2,y+1/2,-z'
'x+1/2,-y+1/2,z'
loop_
_atom_site_label
_atom_site_type_symbol
_atom_site_fract_x
_atom_site_fract_y
_atom_site_fract_z
Rb1 Rb 0.000 0.000 0.000
Rb2 Rb 0.250 0.250 0.000
Er1 Er 0.000 0.500 0.500
Er2 Er 0.250 0.250 0.500
In1 In 0.000 0.000 0.500
Te1 Te 0.018 0.251 0.304
Te2 Te 0.232 0.000 0.696
Te3 Te 0.233 0.500 0.699
```

Results
Final energy = -4.05 eV per atom
Spin magnetization = 0.00 μB per formula unit
E_form (uncorrected) = -1.0879 eV per atom

## Rb4Er3InTe8 (GGA-PBE)

Data for a relaxed Rb4Er3InTe8 crystal.

Geometry as CIF:
```
data_Rb4Er3InTe8
_space_group_name_H-M_alt 'R -3 m'
_space_group_IT_number 166
_space_group_name_Hall '-R 3 2"'
_cell_length_a 8.9964
_cell_length_b 8.9964
_cell_length_c 25.6598
_cell_angle_alpha 90.00
_cell_angle_beta 90.00
_cell_angle_gamma 120.00
loop_
_atom_site_label
_atom_site_type_symbol
_atom_site_fract_x
_atom_site_fract_y
_atom_site_fract_z
Rb1 Rb 0.0000 0.0000 0.0000
Rb2 Rb 0.0000 0.5000 0.0000
Er1 Er 0.0000 0.5000 0.5000
In1 In 0.0000 0.0000 0.5000
Te1 Te 0.0000 0.0000 0.2327
Te2 Te 0.0019 0.5009 0.2319
```

Results
Final energy = -4.00 eV per atom
Spin magnetization = 0.00 μB per formula unit
E_form (uncorrected) = -1.1597 eV per atom

## Er7In2Rh2 (GGA-PBE)

Data for a relaxed Er7In2Rh2 crystal.

Geometry as CIF:
```
data_Er7In2Rh2
_space_group_name_H-M_alt 'C m m m'
_space_group_IT_number 65
_space_group_name_Hall '-C 2 2'
_cell_length_a 8.047
_cell_length_b 10.861
_cell_length_c 7.036
_cell_angle_alpha 90.00
_cell_angle_beta 90.00
_cell_angle_gamma 90.00
loop_
_atom_site_label
_atom_site_type_symbol
_atom_site_fract_x
_atom_site_fract_y
_atom_site_fract_z
Er1 Er 0.000 0.000 0.000
Er2 Er 0.000 0.500 0.242
Er3 Er 0.250 0.250 0.250
In1 In 0.177 0.000 0.500
Rh1 Rh 0.000 0.288 0.000
```

Results
Final energy = -5.17 eV per atom
Spin magnetization = 0.00 μB per formula unit
Energy of formation from the pure elements = -0.43 eV per atom